1.
Compound: NaTmZnS3
Source: the Open Quantum Materials Database
Functional: PBE
Structure: optimized geometry

Geometry as POSCAR:
```
NaTmZnS3
1.0
6.4950 -1.9344 0.0000
6.4950 1.9344 0.0000
0.0000 0.0000 10.4327
Na Zn S Tm
2 2 6 2
direct
0.2491 0.2491 0.7500
0.7509 0.7509 0.2500
0.4662 0.4662 0.2500
0.5338 0.5338 0.7500
0.3664 0.3664 0.0678
0.0765 0.0765 0.2500
0.6336 0.6336 0.9322
0.6336 0.6336 0.5678
0.3664 0.3664 0.4322
0.9235 0.9235 0.7500
0.0000 0.0000 0.0000
0.0000 0.0000 0.5000
```

Properties
Symmetry ... Cmcm (63)
E above lowest polymorph ... 0 meV per atom

=====

2.
Compound: LiHoCuS3
Source: the Open Quantum Materials Database
Functional: PBE
Structure: optimized geometry

Geometry as POSCAR:
```
LiHoCuS3
1.0
7.3764 0.0000 0.0000
0.0000 3.8011 0.0000
-1.7231 0.0000 8.9793
S Li Cu Ho
6 2 2 2
direct
0.5716 0.2500 0.8506
0.9093 0.7500 0.1498
0.0907 0.2500 0.8502
0.4284 0.7500 0.1494
0.7184 0.7500 0.5370
0.2816 0.2500 0.4630
0.3320 0.7500 0.8650
0.6680 0.2500 0.1350
0.5787 0.2500 0.5987
0.4213 0.7500 0.4013
0.8314 0.7500 0.8444
0.1686 0.2500 0.1556
```

Properties
Symmetry ... P2_1/m (11)
E above lowest polymorph ... 0 meV per atom

=====

3.
Compound: CdCoReB
Source: the Open Quantum Materials Database
Functional: PBE
Structure: optimized geometry

Geometry as POSCAR:
```
CdCoReB
1.0
0.0000 2.9702 2.9702
2.9702 0.0000 2.9702
2.9702 2.9702 0.0000
Co B Re Cd
1 1 1 1
direct
0.7500 0.7500 0.7500
0.0000 0.0000 0.0000
0.2500 0.2500 0.2500
0.5000 0.5000 0.5000
```

Properties
Symmetry ... F-43m (216)
E above lowest polymorph ... 0 meV per atom

=====

4.
Compound: ErHg2O4
Source: the Open Quantum Materials Database
Functional: PBE
Structure: optimized geometry

Geometry as POSCAR:
```
ErHg2O4
1.0
-1.0252 -0.3779 -6.6813
6.3056 0.2885 2.4472
-3.7234 -5.5845 0.8850
O Hg Er
8 4 2
direct
0.1358 0.7573 0.3785
0.1285 0.7427 0.8713
0.6215 0.7573 0.3787
0.1287 0.2573 0.8715
0.6142 0.7427 0.8715
0.6215 0.2427 0.8642
0.6213 0.2427 0.3785
0.1285 0.2573 0.3858
0.3750 0.7500 0.6250
0.3750 0.7500 0.1250
0.3750 0.2500 0.6250
0.8750 0.2500 0.6250
0.0000 0.0000 0.0000
0.7500 0.5000 0.2500
```

Properties
Symmetry ... Fd-3m (227)

=====

5.
Compound: BaHgTeO
Source: the Open Quantum Materials Database
Functional: PBE
Structure: optimized geometry

Geometry as POSCAR:
```
BaHgTeO
1.0
6.9096 0.0000 0.0000
0.0000 10.2823 0.0000
0.0000 0.0000 6.7586
O Ba Te Hg
4 4 4 4
direct
0.6080 0.9330 0.1459
0.1080 0.0670 0.1459
0.3920 0.0670 0.6459
0.8920 0.9330 0.6459
0.4985 0.7120 0.0464
0.9985 0.2880 0.0464
0.5015 0.2880 0.5464
0.0015 0.7120 0.5464
0.0000 0.3548 0.5453
0.0000 0.6452 0.0453
0.5001 0.6452 0.5453
0.4999 0.3548 0.0453
0.9357 0.9112 0.0124
0.4357 0.0888 0.0124
0.5643 0.9112 0.5124
0.0643 0.0888 0.5124
```

Properties
Symmetry ... Pca2_1 (29)
E above lowest polymorph ... 228 meV per atom

=====

6.
Compound: FeTcHgAs
Source: the Open Quantum Materials Database
Functional: PBE
Structure: optimized geometry

Geometry as POSCAR:
```
FeTcHgAs
1.0
4.4126 -0.8431 -0.7868
1.3677 -4.2309 -1.0147
1.4155 -0.9882 -4.2215
Fe Tc As Hg
1 1 1 1
direct
0.7500 0.7500 0.7500
0.5000 0.5000 0.5000
0.0000 0.0000 0.0000
0.2500 0.2500 0.2500
```

Properties
Symmetry ... F-43m (216)
E above lowest polymorph ... 269 meV per atom

=====

7.
Compound: Li2Cd2In2NiAg
Source: the Open Quantum Materials Database
Functional: PBE
Structure: optimized geometry

Geometry as POSCAR:
```
Li2Cd2In2NiAg
1.0
4.5947 0.0000 0.0000
0.0000 4.5947 0.0000
0.0000 0.0000 6.6669
Li Ni In Ag Cd
2 1 2 1 2
direct
0.0000 0.0000 0.5000
0.5000 0.5000 0.0000
0.5000 0.5000 0.5000
0.0000 0.5000 0.7303
0.5000 0.0000 0.2697
0.0000 0.0000 0.0000
0.5000 0.0000 0.7346
0.0000 0.5000 0.2654
```

Properties
Symmetry ... P-4m2 (115)

=====

8.
Compound: HfSiB
Source: the Open Quantum Materials Database
Functional: PBE
Structure: optimized geometry

Geometry as POSCAR:
```
HfSiB
1.0
0.0000 2.7589 2.7589
2.7589 0.0000 2.7589
2.7589 2.7589 0.0000
Hf B Si
1 1 1
direct
0.2500 0.2500 0.2500
0.0000 0.0000 0.0000
0.7500 0.7500 0.7500
```

Properties
Symmetry ... F-43m (216)
E above lowest polymorph ... 0 meV per atom

=====

9.
Compound: ZrIn2Pt
Source: the Open Quantum Materials Database
Functional: PBE
Structure: optimized geometry

Geometry as POSCAR:
```
ZrIn2Pt
1.0
0.0000 3.4425 3.4425
3.4425 0.0000 3.4425
3.4425 3.4425 0.0000
In Zr Pt
2 1 1
direct
0.0000 0.0000 0.0000
0.2500 0.2500 0.2500
0.5000 0.5000 0.5000
0.7500 0.7500 0.7500
```

Properties
Symmetry ... F-43m (216)

=====

10.
Compound: Nd3Cd2AgHgPt2
Source: the Open Quantum Materials Database
Functional: PBE
Structure: optimized geometry

Geometry as POSCAR:
```
Nd3Cd2AgHgPt2
1.0
-3.3713 1.1656 1.7304
1.7545 -4.3161 6.3254
2.3858 7.4750 -0.3870
Pt Hg Cd Nd Ag
2 1 2 3 1
direct
0.5000 0.6738 0.3354
0.5000 0.3354 0.6738
0.5000 0.2593 0.2593
0.5000 0.9987 0.7408
0.5000 0.7408 0.9987
0.0000 0.4128 0.0025
0.0000 0.5818 0.5818
0.0000 0.0025 0.4128
0.0000 0.9948 0.9948
```

Properties
Symmetry ... Amm2 (38)

=====

11.
Compound: GdPF
Source: the Open Quantum Materials Database
Functional: PBE
Structure: optimized geometry

Geometry as POSCAR:
```
GdPF
1.0
1.9188 -6.0616 0.0000
1.9188 6.0616 0.0000
0.0000 0.0000 4.0149
Gd F P
2 2 2
direct
0.6299 0.3701 0.7269
0.3701 0.6299 0.2269
0.7464 0.2536 0.2287
0.2536 0.7464 0.7287
0.0472 0.9528 0.2254
0.9528 0.0472 0.7254
```

Properties
Symmetry ... Cmc2_1 (36)

=====

12.
Compound: AcSmNO
Source: the Open Quantum Materials Database
Functional: PBE
Structure: optimized geometry

Geometry as POSCAR:
```
AcSmNO
1.0
5.3048 0.0000 0.0000
0.0000 7.0607 0.0000
0.0000 0.0000 8.6543
O N Sm Ac
4 4 4 4
direct
0.5504 0.0899 0.1513
0.0504 0.9101 0.8487
0.0504 0.4101 0.1513
0.5504 0.5899 0.8487
0.5521 0.5799 0.3874
0.5521 0.0799 0.6126
0.0521 0.9201 0.3874
0.0521 0.4201 0.6126
0.0498 0.0871 0.6173
0.0498 0.5871 0.3827
0.5498 0.9129 0.3827
0.5498 0.4129 0.6173
0.5501 0.9396 0.8702
0.0501 0.5604 0.8702
0.5501 0.4396 0.1298
0.0501 0.0604 0.1298
```

Properties
Symmetry ... Pca2_1 (29)
E above lowest polymorph ... 0 meV per atom

=====

Number 1: E -55.958 eV/cell. Number 2: E -59.706 eV/cell. Number 3: E -22.702 eV/cell. Number 4: E -66.062 eV/cell. Number 5: E -58.816 eV/cell. Number 6: E -20.480 eV/cell. Number 7: E -21.144 eV/cell. Number 8: E -21.521 eV/cell. Number 9: E -21.359 eV/cell. Number 10: E -37.767 eV/cell. Number 11: E -37.688 eV/cell. Number 12: E -119.842 eV/cell.